[1]
MoRu (meta-GGA SCAN, single point on PBEsol structure); DFT total energy = -34.79 eV/atom; density of states at the Fermi level = 0.8899 states/eV per atom; energy relative to the elements = 0.070 eV per atom
1.0
4.8561 0.0000 0.0000
0.0000 4.3487 0.0000
0.0000 0.0000 5.4349
Mo Ru
4 4
Direct
0.1124 0.2500 0.1131
0.3876 0.7500 0.6131
0.6124 0.2500 0.3869
0.8876 0.7500 0.8869
0.0877 0.2500 0.6279
0.4123 0.7500 0.1279
0.5877 0.2500 0.8721
0.9123 0.7500 0.3721



[2]
K3FeN (meta-GGA SCAN, single point on PBEsol structure); formation energy (no corrections) = 1.501 eV/atom; DFT total energy = -8.98 eV/atom; density of states at the Fermi level = 1.8051 states/eV per atom
1.0
5.9847 0.0000 0.0000
0.0000 5.9847 0.0000
0.0000 0.0000 5.9847
K Fe N
3 1 1
Direct
0.0000 0.0000 0.5000
0.0000 0.5000 0.0000
0.5000 0.0000 0.0000
0.0000 0.0000 0.0000
0.5000 0.5000 0.5000



[3]
GeIrF2 (meta-GGA SCAN, single point on PBEsol structure); formation energy (no corrections) = -0.544 eV/atom; DFT total energy = -24.86 eV/atom; density of states at the Fermi level = 0.4270 states/eV per atom
1.0
1.3384 0.7727 8.4741
-1.3384 0.7727 8.4741
0.0000 -1.5454 8.4741
Ge Ir F
1 1 2
Direct
0.0000 0.0000 0.0000
0.5000 0.5000 0.5000
0.0729 0.0729 0.0729
0.9271 0.9271 0.9271



[4]
FeCu2Se (meta-GGA SCAN, single point on PBEsol structure); formation energy (no corrections) = 0.221 eV/atom; DFT total energy = -16.93 eV/atom; density of states at the Fermi level = 0.4715 states/eV per atom
1.0
3.0523 0.0000 0.0000
0.0000 3.0523 0.0000
0.0000 0.0000 5.3914
Fe Cu Se
1 2 1
Direct
0.0000 0.0000 0.0000
0.0000 0.0000 0.5146
0.5000 0.5000 0.7297
0.5000 0.5000 0.1977



[5]
TaSi3Tc (meta-GGA SCAN, single point on PBEsol structure); formation energy (no corrections) = 1.141 eV/atom; DFT total energy = -25.20 eV/atom; density of states at the Fermi level = 1.1009 states/eV per atom
1.0
4.5108 0.0000 0.0000
0.0000 4.5108 0.0000
0.0000 0.0000 4.5108
Ta Si Tc
1 3 1
Direct
0.0000 0.0000 0.0000
0.0000 0.5000 0.5000
0.5000 0.0000 0.5000
0.5000 0.5000 0.0000
0.5000 0.5000 0.5000



[6]
Tl2ZnSb (meta-GGA SCAN, single point on PBEsol structure); formation energy (no corrections) = 0.211 eV/atom; DFT total energy = -48.66 eV/atom; density of states at the Fermi level = 0.4930 states/eV per atom; energy above the most stable polymorph in this dataset = 101 meV/atom
1.0
-1.7419 2.6602 5.3147
1.7419 -2.6602 5.3147
1.7419 2.6602 -5.3147
Tl Zn Sb
2 1 1
Direct
0.2240 0.2240 0.0000
0.7760 0.7760 0.0000
0.0000 0.5000 0.5000
0.5000 0.0000 0.5000



[7]
K2GaHN (meta-GGA SCAN, single point on PBEsol structure); DFT total energy = -8.60 eV/atom; density of states at the Fermi level = 0.5873 states/eV per atom
1.0
5.7037 0.0000 0.0000
0.0000 5.7037 0.0000
0.0000 0.0000 2.8233
K Ga H N
2 1 1 1
Direct
0.0000 0.5000 0.0000
0.5000 0.0000 0.0000
0.0000 0.0000 0.5000
0.5000 0.5000 0.0000
0.5000 0.5000 0.5000



[8]
As2RhSe (meta-GGA SCAN, single point on PBEsol structure); formation energy (no corrections) = -0.012 eV/atom; DFT total energy = -23.57 eV/atom; density of states at the Fermi level = 0.6905 states/eV per atom
1.0
2.9077 0.0000 0.0000
0.0000 2.9077 0.0000
0.0000 0.0000 8.5263
As Rh Se
2 1 1
Direct
0.0000 0.0000 0.1892
0.0000 0.0000 0.8108
0.5000 0.5000 0.0000
0.5000 0.5000 0.5000



[9]
CsBPd2 (meta-GGA SCAN, single point on PBEsol structure); DFT total energy = -27.60 eV/atom; density of states at the Fermi level = 0.3800 states/eV per atom; energy relative to the elements = 0.096 eV per atom
1.0
-2.7842 2.7842 6.0075
2.7842 -2.7842 6.0075
2.7842 2.7842 -6.0075
Cs B Pd
2 2 4
Direct
0.3750 0.6250 0.7500
0.6250 0.3750 0.2500
0.1250 0.8750 0.2500
0.8750 0.1250 0.7500
0.0000 0.0000 0.0000
0.0000 0.0000 0.5000
0.0000 0.5000 0.0000
0.5000 0.0000 0.5000



[10]
Al2AgGeBr (meta-GGA SCAN, single point on PBEsol structure); formation energy (no corrections) = 1.139 eV/atom; DFT total energy = -15.95 eV/atom; density of states at the Fermi level = 0.5986 states/eV per atom
1.0
5.1363 0.0000 0.0000
0.0000 5.1363 0.0000
0.0000 0.0000 5.0636
Al Ag Ge Br
2 1 1 1
Direct
0.0000 0.5000 0.0000
0.5000 0.0000 0.0000
0.0000 0.0000 0.5000
0.5000 0.5000 0.5000
0.5000 0.5000 0.0000



[11]
AlAsH4O6 (meta-GGA SCAN, single point on PBEsol structure); DFT total energy = -8.25 eV/atom; density of states at the Fermi level = 0.0000 states/eV per atom
1.0
8.7400 0.0000 0.0000
0.0000 9.7589 0.0000
0.0000 0.0000 10.0779
Al As H O
8 8 32 48
Direct
0.1494 0.1843 0.1261
0.1494 0.3157 0.6261
0.3506 0.6843 0.1261
0.3506 0.8157 0.6261
0.6494 0.1843 0.3739
0.6494 0.3157 0.8739
0.8506 0.6843 0.3739
0.8506 0.8157 0.8739
0.0350 0.6337 0.6519
0.0350 0.8663 0.1519
0.4650 0.1337 0.6519
0.4650 0.3663 0.1519
0.5350 0.6337 0.8481
0.5350 0.8663 0.3481
0.9650 0.1337 0.8481
0.9650 0.3663 0.3481
0.1372 0.5992 0.9688
0.1372 0.9008 0.4688
0.1647 0.6010 0.3116
0.1647 0.8990 0.8116
0.1794 0.1806 0.3693
0.1794 0.3194 0.8693
0.2046 0.0268 0.5654
0.2046 0.4732 0.0654
0.2954 0.5268 0.5654
0.2954 0.9732 0.0654
0.3206 0.6806 0.3693
0.3206 0.8194 0.8693
0.3353 0.1010 0.3116
0.3353 0.3990 0.8116
0.3628 0.0992 0.9688
0.3628 0.4008 0.4688
0.6372 0.5992 0.5312
0.6372 0.9008 0.0312
0.6647 0.6010 0.1884
0.6647 0.8990 0.6884
0.6794 0.1806 0.1307
0.6794 0.3194 0.6307
0.7046 0.0268 0.9346
0.7046 0.4732 0.4346
0.7954 0.5268 0.9346
0.7954 0.9732 0.4346
0.8206 0.6806 0.1307
0.8206 0.8194 0.6307
0.8353 0.1010 0.1884
0.8353 0.3990 0.6884
0.8628 0.0992 0.5312
0.8628 0.4008 0.0312
0.0026 0.0387 0.1389
0.0026 0.4613 0.6389
0.0026 0.6947 0.8073
0.0026 0.8053 0.3073
0.0843 0.2220 0.9527
0.0843 0.2780 0.4527
0.1835 0.5763 0.0551
0.1835 0.9237 0.5551
0.2220 0.6603 0.6087
0.2220 0.8397 0.1087
0.2251 0.1250 0.2928
0.2251 0.3750 0.7928
0.2749 0.6250 0.2928
0.2749 0.8750 0.7928
0.2780 0.1603 0.6087
0.2780 0.3397 0.1087
0.3165 0.0763 0.0551
0.3165 0.4237 0.5551
0.4157 0.7220 0.9527
0.4157 0.7780 0.4527
0.4974 0.1947 0.8073
0.4974 0.3053 0.3073
0.4974 0.5387 0.1389
0.4974 0.9613 0.6389
0.5026 0.0387 0.3611
0.5026 0.4613 0.8611
0.5026 0.6947 0.6927
0.5026 0.8053 0.1927
0.5843 0.2220 0.5473
0.5843 0.2780 0.0473
0.6835 0.5763 0.4449
0.6835 0.9237 0.9449
0.7220 0.6603 0.8913
0.7220 0.8397 0.3913
0.7251 0.1250 0.2072
0.7251 0.3750 0.7072
0.7749 0.6250 0.2072
0.7749 0.8750 0.7072
0.7780 0.1603 0.8913
0.7780 0.3397 0.3913
0.8165 0.0763 0.4449
0.8165 0.4237 0.9449
0.9157 0.7220 0.5473
0.9157 0.7780 0.0473
0.9974 0.1947 0.6927
0.9974 0.3053 0.1927
0.9974 0.5387 0.3611
0.9974 0.9613 0.8611



[12]
LiCu2Ni (meta-GGA SCAN, single point on PBEsol structure); DFT total energy = -12.24 eV/atom; density of states at the Fermi level = 0.4628 states/eV per atom; energy relative to the elements = -0.003 eV per atom; energy above the most stable polymorph in this dataset = 0 meV/atom
1.0
2.5519 0.0000 0.0000
0.0000 4.1012 0.0000
0.0000 0.0000 4.2145
Li Cu Ni
1 2 1
Direct
0.0000 0.0000 0.0000
0.5000 0.0000 0.4919
0.5000 0.5000 0.8713
0.0000 0.5000 0.3785